## Mg2V2O5 (PBE+U)

Data for crystalline Mg2V2O5 at its relaxed geometry.

POSCAR file:
```
Mg2V2O5
1.0
3.285 0.000 0.000
0.000 5.924 0.000
0.000 0.000 11.166
O Mg V
10 4 4
Direct
0.000 0.505 0.904 O
0.000 0.495 0.404 O
0.000 0.143 0.054 O
0.500 0.736 0.060 O
0.000 0.857 0.554 O
0.500 0.373 0.198 O
0.500 0.264 0.560 O
0.500 0.024 0.816 O
0.500 0.627 0.698 O
0.500 0.976 0.316 O
0.000 0.502 0.097 Mg
0.000 0.827 0.381 Mg
0.000 0.173 0.881 Mg
0.000 0.498 0.597 Mg
0.500 0.969 0.631 V
0.500 0.681 0.865 V
0.500 0.031 0.131 V
0.500 0.319 0.365 V
```

Properties
The space group is Pmc2_1, No. 26. The value obtained for the total energy is -6.93 eV/atom.